No. 1
A relaxed MnInOs2 crystal. Source: the Alexandria database, functional PBE-GGA.

Properties
Energy of formation: 0.4200 eV per atom
Volume: 15.19 Å³/atom
Total magnetic moment: 1.91 μB/cell

a b c (Å): 4.739 4.739 4.739
angles (deg): 130.12 130.12 73.21
Atoms (fractional coordinates):
Mn (0.000, 0.000, 0.000)
In (0.500, 0.500, 0.000)
Os (0.250, 0.750, 0.500)
Os (0.750, 0.250, 0.500)

***

No. 2
A relaxed MnIn2Os crystal. Source: the Alexandria database, functional PBE-GGA.

Properties
Energy of formation: 0.3950 eV per atom
Volume: 17.61 Å³/atom
Total magnetic moment: 4.18 μB/cell

a b c (Å): 5.161 5.161 5.161
angles (deg): 133.80 133.80 67.41
Atoms (fractional coordinates):
Mn (0.000, 0.000, 0.000)
In (0.500, 0.500, 0.000)
In (0.750, 0.250, 0.500)
Os (0.250, 0.750, 0.500)

***

Number 1: DFT total energy -8.17 eV/atom. Number 2: DFT total energy -6.07 eV/atom.